Dy2BeGa | GGA-PBE | optimized geometry

Unit cell a=3.4080 b=3.4080 c=10.4532 alpha=80.62 beta=80.62 gamma=60.00
Element x y z (fractional)
1 Dy 0.9054 0.9054 0.2838
2 Dy 0.0946 0.0946 0.7162
3 Ga 0.5000 0.5000 0.5000
4 Be 0.0000 0.0000 0.0000

Properties
Energy of formation from the pure elements, eV/f.u.: 1.94
SG: R-3m, No. 166
Crystal system: trigonal
E, eV per cell: -14.020
Offset from the most stable computed form, kJ/mol of formula units: 284